[1]
Entry from Alexandria: an optimized crystal structure of CaAs2Ru (PBE-GGA).

```
CaAs2Ru
1.0
0.0000 3.2888 3.2888
3.2888 0.0000 3.2888
3.2888 3.2888 0.0000
Ca As Ru
1 2 1
Direct
0.0000 0.0000 0.0000
0.2500 0.2500 0.2500
0.7500 0.7500 0.7500
0.5000 0.5000 0.5000
```

Output
- Total magnetization: 0.00 μB per formula unit
- V: 71 Å³/f.u.
- Energy: -5.47 eV per atom
- Energy above the most stable polymorph in this dataset: 8.27 kcal/mol of atoms


[2]
Entry from Alexandria: an optimized crystal structure of CaAs2Ru (PBE-GGA).

```
CaAs2Ru
1.0
3.1920 0.0000 0.0000
0.0000 3.1920 0.0000
0.0000 0.0000 7.1315
Ca As Ru
1 2 1
Direct
0.0000 0.0000 0.0000
0.5000 0.5000 0.2955
0.5000 0.5000 0.7045
0.0000 0.0000 0.5000
```

Output
- Total magnetization: 0.33 μB per formula unit
- V: 73 Å³/f.u.
- Energy: -5.47 eV per atom
- Energy above the most stable polymorph in this dataset: 8.20 kcal/mol of atoms


[3]
Entry from Alexandria: an optimized crystal structure of CaAs2Ru (PBE-GGA).

```
CaAs2Ru
1.0
3.3751 0.0000 0.0000
0.0000 3.3751 0.0000
0.0000 0.0000 6.7289
Ca As Ru
1 2 1
Direct
0.0000 0.0000 0.0000
0.0000 0.0000 0.4701
0.5000 0.5000 0.7203
0.5000 0.5000 0.3306
```

Output
- Total magnetization: 0.00 μB per formula unit
- V: 77 Å³/f.u.
- Energy: -5.34 eV per atom
- Energy above the most stable polymorph in this dataset: 11.09 kcal/mol of atoms


[4]
Entry from Alexandria: an optimized crystal structure of CaAs2Ru (PBE-GGA).

```
CaAs2Ru
1.0
2.9412 -3.6298 0.0000
2.9412 3.6298 0.0000
0.0000 0.0000 3.4266
Ca As Ru
1 2 1
Direct
0.0000 0.0000 0.0000
0.0000 0.5000 0.5000
0.5000 0.0000 0.5000
0.5000 0.5000 0.0000
```

Output
- Total magnetization: 0.00 μB per formula unit
- V: 73 Å³/f.u.
- Energy: -5.26 eV per atom
- Energy above the most stable polymorph in this dataset: 12.95 kcal/mol of atoms


[5]
Entry from Alexandria: an optimized crystal structure of CaAsRu (PBE-GGA).

```
CaAsRu
1.0
0.0000 3.2256 3.2256
3.2256 0.0000 3.2256
3.2256 3.2256 0.0000
Ca As Ru
1 1 1
Direct
0.0000 0.0000 0.0000
0.7500 0.7500 0.7500
0.2500 0.2500 0.2500
```

Output
- Total magnetization: 0.00 μB per formula unit
- V: 67 Å³/f.u.
- Energy: -4.60 eV per atom


[6]
Entry from Alexandria: an optimized crystal structure of CaAs2Ru (PBE-GGA).

```
CaAs2Ru
1.0
-1.5743 1.8381 6.8708
1.5743 -1.8381 6.8708
1.5743 1.8381 -6.8708
Ca As Ru
1 2 1
Direct
0.0000 0.0000 0.0000
0.3772 0.3772 0.0000
0.6669 0.1669 0.5000
0.2378 0.7378 0.5000
```

Output
- Total magnetization: 0.00 μB per formula unit
- V: 80 Å³/f.u.
- Energy: -5.53 eV per atom
- Energy above the most stable polymorph in this dataset: 6.82 kcal/mol of atoms


[7]
Entry from Alexandria: an optimized crystal structure of CaAs2Ru (PBE-GGA).

```
CaAs2Ru
1.0
0.0000 3.3174 3.3174
3.3174 0.0000 3.3174
3.3174 3.3174 0.0000
Ca As Ru
1 2 1
Direct
0.0000 0.0000 0.0000
0.5000 0.5000 0.5000
0.7500 0.7500 0.7500
0.2500 0.2500 0.2500
```

Output
- Total magnetization: 0.00 μB per formula unit
- V: 73 Å³/f.u.
- Energy: -5.03 eV per atom
- Energy above the most stable polymorph in this dataset: 18.45 kcal/mol of atoms


[8]
Entry from Alexandria: an optimized crystal structure of CaAs2RuSe (PBE-GGA).

```
CaAs2RuSe
1.0
4.6545 0.0000 0.0000
0.0000 4.6545 0.0000
0.0000 0.0000 5.6293
Ca As Ru Se
1 2 1 1
Direct
0.0000 0.0000 0.0000
0.0000 0.5000 0.5000
0.5000 0.0000 0.5000
0.5000 0.5000 0.5000
0.5000 0.5000 0.0000
```

Output
- Total magnetization: 0.00 μB per formula unit
- V: 122 Å³/f.u.
- Energy: -5.07 eV per atom
- Formation energy (no corrections): -0.259 eV per atom
- Energy above the most stable polymorph in this dataset: 0.00 kcal/mol of atoms


[9]
Entry from Alexandria: an optimized crystal structure of CaAs2RuSe (PBE-GGA).

```
CaAs2RuSe
1.0
5.2857 0.0000 0.0000
0.0000 5.2857 0.0000
0.0000 0.0000 5.2147
Ca As Ru Se
1 2 1 1
Direct
0.0000 0.0000 0.0000
0.0000 0.5000 0.0000
0.5000 0.0000 0.0000
0.5000 0.5000 0.5000
0.0000 0.0000 0.5000
```

Output
- Total magnetization: 2.54 μB per formula unit
- V: 146 Å³/f.u.
- Energy: -3.54 eV per atom
- Formation energy (no corrections): 1.271 eV per atom
- Energy above the most stable polymorph in this dataset: 35.29 kcal/mol of atoms


[10]
Entry from Alexandria: an optimized crystal structure of CaSiAs2Ru (PBE-GGA).

```
CaSiAs2Ru
1.0
4.9701 0.0000 0.0000
0.0000 4.9701 0.0000
0.0000 0.0000 4.5634
Ca Si As Ru
1 1 2 1
Direct
0.0000 0.0000 0.0000
0.5000 0.5000 0.0000
0.0000 0.5000 0.5000
0.5000 0.0000 0.5000
0.5000 0.5000 0.5000
```

Output
- Total magnetization: 0.00 μB per formula unit
- V: 113 Å³/f.u.
- Energy: -5.17 eV per atom
- Formation energy (no corrections): 0.028 eV per atom


[11]
Entry from Alexandria: an optimized crystal structure of CaTcAs2Ru (PBE-GGA).

```
CaTcAs2Ru
1.0
-2.1378 2.1378 5.1127
2.1378 -2.1378 5.1127
2.1378 2.1378 -5.1127
Ca Tc As Ru
1 1 2 1
Direct
0.0000 0.0000 0.0000
0.2500 0.7500 0.5000
0.3658 0.3658 0.0000
0.6342 0.6342 0.0000
0.7500 0.2500 0.5000
```

Output
- Total magnetization: 0.00 μB per formula unit
- V: 93 Å³/f.u.
- Energy: -6.76 eV per atom


[12]
Entry from Alexandria: an optimized crystal structure of Ca2TeAsRu (PBE-GGA).

```
Ca2TeAsRu
1.0
5.4365 0.0000 0.0000
0.0000 5.4365 0.0000
0.0000 0.0000 5.5536
Ca Te As Ru
2 1 1 1
Direct
0.0000 0.5000 0.0000
0.5000 0.0000 0.0000
0.0000 0.0000 0.5000
0.0000 0.0000 0.0000
0.5000 0.5000 0.5000
```

Output
- Total magnetization: 2.52 μB per formula unit
- V: 164 Å³/f.u.
- Energy: -3.78 eV per atom
- Formation energy (no corrections): 0.439 eV per atom


| no. | DOS at the Fermi energy (states/eV/f.u.) |
| --- | --- |
| 1 | 0.885 |
| 2 | 3.445 |
| 3 | 3.332 |
| 4 | 3.474 |
| 5 | 4.003 |
| 6 | 2.894 |
| 7 | 1.819 |
| 8 | 4.189 |
| 9 | 7.068 |
| 10 | 6.193 |
| 11 | 3.325 |
| 12 | 5.340 |